(1)
Na2AlBr6 | PBE-GGA | relaxed

Unit cell a=6.6909 b=6.6909 c=12.6192 alpha=90.00 beta=90.00 gamma=90.00
Last column: magnetic moment on the atom in μB.
Atoms (fractional coordinates):
Na: 0.0000 0.0000 0.3321  0.00
Na: 0.5000 0.5000 0.8321  0.00
Na: 0.5000 0.5000 0.1679  0.00
Na: 0.0000 0.0000 0.6679  0.00
Al: 0.0000 0.0000 0.0000  0.00
Al: 0.5000 0.5000 0.5000  0.00
Br: 0.3152 0.3152 0.3574  0.07
Br: 0.6848 0.6848 0.3574  0.07
Br: 0.1848 0.8152 0.8574  0.07
Br: 0.8152 0.1848 0.8574  0.07
Br: 0.1848 0.8152 0.1426  0.07
Br: 0.8152 0.1848 0.1426  0.07
Br: 0.3152 0.3152 0.6426  0.07
Br: 0.6848 0.6848 0.6426  0.07
Br: 0.2661 0.2661 0.0000  0.11
Br: 0.7339 0.7339 0.0000  0.11
Br: 0.2339 0.7661 0.5000  0.11
Br: 0.7661 0.2339 0.5000  0.11

Computed properties:
**Uncorrected energy**: -2.879 eV per atom

(2)
NaAl2Br | PBE-GGA | relaxed

Unit cell a=5.3494 b=5.3494 c=5.3494 alpha=60.00 beta=60.00 gamma=60.00
Atoms (fractional coordinates):
Na: 0.0000 0.0000 0.0000
Al: 0.2500 0.2500 0.2500
Al: 0.7500 0.7500 0.7500
Br: 0.5000 0.5000 0.5000

Computed properties:
**Excess energy over the best structure of this formula in the dataset**: 271 meV per atom
**Uncorrected energy**: -2.246 eV per atom

(3)
NaAlBr4 | PBE-GGA | relaxed

Unit cell a=9.9044 b=9.9047 c=9.8785 alpha=82.19 beta=82.19 gamma=136.81
Atoms (fractional coordinates):
Na: 0.8749 0.6251 0.2500
Na: 0.1250 0.3749 0.7500
Al: 0.6250 0.8750 0.7500
Al: 0.3750 0.1250 0.2500
Br: 0.2900 0.6835 0.8940
Br: 0.5776 0.6840 0.6059
Br: 0.1840 0.0776 0.1060
Br: 0.7100 0.3165 0.1060
Br: 0.1835 0.7899 0.3940
Br: 0.8160 0.9224 0.8940
Br: 0.4224 0.3160 0.3941
Br: 0.8165 0.2100 0.6060

Computed properties:
**Excess energy over the best structure of this formula in the dataset**: 16 meV per atom
**Uncorrected energy**: -3.242 eV per atom

(4)
NaAl2Br2 | PBE-GGA | relaxed

Unit cell a=7.9454 b=7.9454 c=4.4452 alpha=90.00 beta=90.00 gamma=90.00
Atoms (fractional coordinates):
Na: 0.0000 0.0000 0.0000
Na: 0.5000 0.5000 0.0000
Al: 0.3778 0.8778 0.0000
Al: 0.8778 0.6222 0.0000
Al: 0.6222 0.1222 0.0000
Al: 0.1222 0.3778 0.0000
Br: 0.1963 0.6963 0.5000
Br: 0.6963 0.8037 0.5000
Br: 0.8037 0.3037 0.5000
Br: 0.3037 0.1963 0.5000

Computed properties:
**Excess energy over the best structure of this formula in the dataset**: 45 meV per atom
**Uncorrected energy**: -2.557 eV per atom

(5)
Na3AlBr6 | PBE-GGA | relaxed

Unit cell a=7.6728 b=9.8898 c=9.8898 alpha=104.79 beta=90.00 gamma=90.00
Atoms (fractional coordinates):
Na: 0.4062 0.8654 0.6579
Na: 0.9062 0.6579 0.8654
Na: 0.3334 0.4464 0.5536
Na: 0.8334 0.5536 0.4464
Na: 0.9062 0.1346 0.3421
Na: 0.4062 0.3421 0.1346
Al: 0.1153 0.1999 0.8001
Al: 0.6153 0.8001 0.1999
Br: 0.1059 0.6956 0.6366
Br: 0.6059 0.6366 0.6956
Br: 0.2111 0.4323 0.8817
Br: 0.7111 0.8817 0.4323
Br: 0.2719 0.0714 0.9286
Br: 0.8181 0.1855 0.8145
Br: 0.3181 0.8145 0.1855
Br: 0.7719 0.9286 0.0714
Br: 0.2111 0.1183 0.5677
Br: 0.7111 0.5677 0.1183
Br: 0.1059 0.3634 0.3044
Br: 0.6059 0.3044 0.3634

Computed properties:
**Excess energy over the best structure of this formula in the dataset**: 0 meV per atom
**Uncorrected energy**: -3.129 eV per atom

(6)
NaAlBr4 | PBE-GGA | relaxed

Unit cell a=7.8471 b=7.7159 c=14.0441 alpha=90.00 beta=90.00 gamma=90.00
Atoms (fractional coordinates):
Na: 0.5498 0.7500 0.8465
Na: 0.4502 0.2500 0.1535
Na: 0.0498 0.2500 0.6535
Na: 0.9502 0.7500 0.3465
Al: 0.8086 0.7500 0.6015
Al: 0.1914 0.2500 0.3985
Al: 0.3086 0.2500 0.8985
Al: 0.6914 0.7500 0.1015
Br: 0.0916 0.7500 0.5530
Br: 0.9084 0.2500 0.4470
Br: 0.5916 0.2500 0.9470
Br: 0.4084 0.7500 0.0530
Br: 0.7498 0.5096 0.6983
Br: 0.2502 0.4904 0.3017
Br: 0.2498 0.4904 0.8017
Br: 0.2502 0.0096 0.3017
Br: 0.7502 0.5096 0.1983
Br: 0.7498 0.9904 0.6983
Br: 0.7502 0.9904 0.1983
Br: 0.2498 0.0096 0.8017
Br: 0.8625 0.7500 0.9675
Br: 0.1375 0.2500 0.0325
Br: 0.3625 0.2500 0.5325
Br: 0.6375 0.7500 0.4675

Computed properties:
**Excess energy over the best structure of this formula in the dataset**: 0 meV per atom
**Uncorrected energy**: -3.258 eV per atom

(7)
NaAl2Br | PBE-GGA | relaxed

Unit cell a=8.7347 b=8.7347 c=6.7850 alpha=49.93 beta=49.93 gamma=90.00
Atoms (fractional coordinates):
Na: 0.5000 0.5000 0.0000
Na: 0.2500 0.7500 0.5000
Al: 0.6434 0.1250 0.2500
Al: 0.1066 0.6250 0.2500
Al: 0.3750 0.3566 0.7500
Al: 0.8750 0.8934 0.7500
Br: 0.0000 0.0000 0.0000
Br: 0.7500 0.2500 0.5000

Computed properties:
**Excess energy over the best structure of this formula in the dataset**: 0 meV per atom
**Uncorrected energy**: -2.518 eV per atom

(8)
Na2AlBr | PBE-GGA | relaxed

Unit cell a=8.2449 b=8.2449 c=6.7876 alpha=52.60 beta=52.60 gamma=90.00
Atoms (fractional coordinates):
Na: 0.6575 0.1250 0.2500
Na: 0.0925 0.6250 0.2500
Na: 0.3750 0.3425 0.7500
Na: 0.8750 0.9075 0.7500
Al: 0.5000 0.5000 0.0000
Al: 0.2500 0.7500 0.5000
Br: 0.0000 0.0000 0.0000
Br: 0.7500 0.2500 0.5000

Computed properties:
**Excess energy over the best structure of this formula in the dataset**: 0 meV per atom
**Uncorrected energy**: -2.289 eV per atom

The calculation returns the following volume values, one per record and in order: 564.9; 108.2; 616.5; 280.6; 725.6; 850.3; 214.3; 236.3 Å³/cell.
The calculation returns the following uncorrected formation energy values, one per record and in order: -1055; 373; -1283; -127; -1355; -1299; 102; -276 meV/atom.